DFT (PBE) results for a geometry-optimized Zr2InPd2 structure.

Values from the calculation:
The value obtained for the calculated formation energy is -0.66 eV/atom. Its density of states at the Fermi level is 0.668 states/eV/atom.

Unit cell a=7.531 b=7.531 c=6.914 alpha=90.00 beta=90.00 gamma=90.00
Sites, in units of the cell vectors:
Zr 0.653 0.653 0.500
Zr 0.188 0.812 0.500
Zr 0.688 0.688 0.000
Zr 0.153 0.847 0.000
Zr 0.812 0.188 0.500
Zr 0.312 0.312 0.000
Zr 0.847 0.153 0.000
Zr 0.347 0.347 0.500
In 0.500 0.000 0.250
In 0.000 0.500 0.750
In 0.000 0.500 0.250
In 0.500 0.000 0.750
Pd 0.371 0.629 0.216
Pd 0.629 0.371 0.784
Pd 0.871 0.871 0.716
Pd 0.371 0.629 0.784
Pd 0.629 0.371 0.216
Pd 0.129 0.129 0.284
Pd 0.871 0.871 0.284
Pd 0.129 0.129 0.716

DFT (PBE) results for a geometry-optimized Nd3PaAs4 structure.

Values from the calculation:
The distance to the lowest polymorph of the same formula comes out at 0 kJ/mol of formula units. The value obtained for the calculated formation energy is -1.41 eV/atom. Its density of states at the Fermi level is 0.693 states/eV/atom.

Unit cell a=4.223 b=7.307 c=7.307 alpha=109.42 beta=90.00 gamma=90.00
Sites, in units of the cell vectors:
Nd 0.000 0.000 0.500
Nd 0.500 0.500 0.500
Nd 0.000 0.500 0.000
Pa 0.500 0.000 0.000
As 0.000 0.239 0.239
As 0.500 0.757 0.243
As 0.000 0.761 0.761
As 0.500 0.243 0.757

DFT (PBE) results for a geometry-optimized Cd2AsHPd6 structure.

Values from the calculation:
Its density of states at the Fermi level is 0.257 states/eV/atom. The value obtained for the total DFT energy (no corrections) is -43.9 eV for the cell shown.

Unit cell a=6.623 b=5.814 c=6.693 alpha=124.46 beta=126.74 gamma=84.81
Sites, in units of the cell vectors:
Cd 0.791 0.207 0.506
Cd 0.209 0.794 0.494
As 0.500 0.500 0.000
H 0.000 0.000 0.000
Pd 0.705 0.715 0.899
Pd 0.848 0.708 0.552
Pd 0.295 0.286 0.101
Pd 0.733 0.187 0.873
Pd 0.152 0.293 0.447
Pd 0.267 0.814 0.126

DFT (PBE) results for a geometry-optimized LiMg4Pt structure.

Values from the calculation:
The distance to the lowest polymorph of the same formula comes out at 112 kJ/mol of formula units. The value obtained for the calculated formation energy is -0.02 eV/atom. Its density of states at the Fermi level is 0.391 states/eV/atom.

Unit cell a=5.508 b=5.508 c=5.508 alpha=60.00 beta=60.00 gamma=60.00
Sites, in units of the cell vectors:
Li 0.000 0.000 0.000
Mg 0.873 0.376 0.376
Mg 0.376 0.376 0.873
Mg 0.376 0.873 0.376
Mg 0.376 0.376 0.376
Pt 0.750 0.750 0.750

DFT (PBE) results for a geometry-optimized K2MnV structure.

Values from the calculation:
The distance to the lowest polymorph of the same formula comes out at 149 kJ/mol of formula units. The value obtained for the calculated formation energy is 1.47 eV/atom. Its density of states at the Fermi level is 2.820 states/eV/atom.

Unit cell a=5.935 b=5.935 c=5.935 alpha=60.00 beta=60.00 gamma=60.00
Site moments in Bohr magnetons follow the coordinates.
Sites, in units of the cell vectors:
K 0.250 0.250 0.250  0.03
K 0.750 0.750 0.750  0.03
Mn 0.500 0.500 0.500  4.36
V 0.000 0.000 0.000  3.19

DFT (PBE) results for a geometry-optimized YB2Se structure.

Values from the calculation:
For the uncorrected formation energy, the calculation gives 41.53 kJ per mole of atoms. Its density of states at the Fermi level is 0.146 states/eV/atom.

Unit cell a=6.191 b=6.191 c=5.493 alpha=55.70 beta=55.70 gamma=90.00
Sites, in units of the cell vectors:
Y 0.000 0.000 0.000
Y 0.750 0.250 0.500
B 0.557 0.125 0.250
B 0.193 0.625 0.250
B 0.375 0.443 0.750
B 0.875 0.807 0.750
Se 0.500 0.500 0.000
Se 0.250 0.750 0.500

DFT (PBE) results for a geometry-optimized Pr6TeAs2S3 structure.

Values from the calculation:
For the uncorrected formation energy, the calculation gives -170.02 kJ per mole of atoms. Its density of states at the Fermi level is 0.372 states/eV/atom.

Unit cell a=4.238 b=8.530 c=9.487 alpha=102.54 beta=102.91 gamma=90.00
Sites, in units of the cell vectors:
Pr 0.324 0.910 0.648
Pr 0.667 0.584 0.333
Pr 0.676 0.090 0.352
Pr 0.000 0.277 0.001
Pr 0.000 0.723 0.999
Pr 0.333 0.416 0.667
Te 0.500 0.000 0.000
As 0.833 0.668 0.667
As 0.167 0.332 0.333
S 0.500 0.500 0.000
S 0.836 0.167 0.672
S 0.164 0.833 0.328

DFT (PBE) results for a geometry-optimized RuCS2 structure.

Values from the calculation:
For the uncorrected formation energy, the calculation gives 109.33 kJ per mole of atoms. Its density of states at the Fermi level is 0.504 states/eV/atom.

Unit cell a=7.025 b=7.025 c=7.025 alpha=24.27 beta=24.27 gamma=24.27
Sites, in units of the cell vectors:
Ru 0.000 0.000 0.000
S 0.893 0.893 0.893
S 0.107 0.107 0.107
C 0.500 0.500 0.500

DFT (PBE) results for a geometry-optimized InNi structure.

Values from the calculation:
The value obtained for the calculated formation energy is 0.16 eV/atom. Its density of states at the Fermi level is 0.513 states/eV/atom.

Unit cell a=5.190 b=5.190 c=5.242 alpha=90.00 beta=90.00 gamma=90.00
Sites, in units of the cell vectors:
In 0.201 0.201 0.000
In 0.701 0.299 0.500
In 0.299 0.701 0.500
In 0.799 0.799 0.000
Ni 0.313 0.687 0.000
Ni 0.813 0.813 0.500
Ni 0.187 0.187 0.500
Ni 0.687 0.313 0.000

- What is the formula in the ninth record?
  InNi